# PBE-GGA Sr2LaAs, relaxed
# - formation energy from the elements (eV/atom) = -0.2577
# - calculated density (g/cm3) = 4.81
# - size of the total moment (μB per atom) = 0.0005
# - space group = I-4m2
data_Sr2LaAs
_chemical_formula_sum 'Sr2 La1 As1'
_cell_length_a 6.6199
_cell_length_b 6.6199
_cell_length_c 6.6199
_cell_angle_alpha 136.80
_cell_angle_beta 136.80
_cell_angle_gamma 62.74
_symmetry_space_group_name_H-M 'P 1'
_symmetry_Int_Tables_number 1
loop_
_symmetry_equiv_pos_as_xyz
'x,y,z'
loop_
_atom_site_label
_atom_site_fract_x
_atom_site_fract_y
_atom_site_fract_z
As1 0.5000 0.5000 0.0000
Sr1 0.0000 0.0000 0.0000
Sr2 0.2500 0.7500 0.5000
La1 0.7500 0.2500 0.5000